Entry 1:
An optimized crystal structure of HoIrNO. Source: OQMD via LeMat-Bulk, functional PBE-GGA.

Results
The total moment comes out at 0.00 μB/f.u. Its offset from the most stable computed form is 528 meV per atom. As for the space-group type: Pmc2_1 (26).

```
HoIrNO
1.0
-1.924 -3.333 0.000
0.000 0.000 5.030
-5.408 3.122 0.000
Ho Ir N O
2 2 2 2
direct
0.500 0.016 0.199 Ho
0.500 0.516 0.801 Ho
0.000 0.472 0.413 Ir
0.000 0.972 0.587 Ir
0.000 0.829 0.305 N
0.000 0.329 0.695 N
0.500 0.438 0.140 O
0.500 0.938 0.860 O
```



Entry 2:
An optimized crystal structure of SmGdHo2Al2. Source: OQMD via LeMat-Bulk, functional PBE-GGA.

Results
Its total energy is -4.60 eV/atom. The total moment comes out at 0.03 μB/f.u. As for the space-group type: P-6m2 (187).

```
SmGdHo2Al2
1.0
-1.625 -2.669 4.225
5.100 0.062 -1.268
0.871 5.436 3.769
Al Gd Ho Sm
2 1 2 1
direct
0.000 0.000 0.000 Al
0.333 0.667 0.500 Al
0.000 0.000 0.500 Gd
0.667 0.333 0.251 Ho
0.667 0.333 0.749 Ho
0.333 0.667 0.000 Sm
```



Entry 3:
An optimized crystal structure of CsNiTe2AuS. Source: OQMD via LeMat-Bulk, functional PBE-GGA.

Results
Its total energy is -3.54 eV/atom. The total moment comes out at 0.95 μB/f.u. As for the space-group type: Cmcm (63).

```
CsNiTe2AuS
1.0
6.494 3.630 -0.693
-7.451 0.421 0.361
0.648 1.144 12.067
Au Cs Ni S Te
2 2 2 2 4
direct
0.555 0.445 0.250 Au
0.445 0.555 0.750 Au
0.273 0.727 0.250 Cs
0.727 0.273 0.750 Cs
0.000 0.000 0.000 Ni
0.000 0.000 0.500 Ni
0.972 0.028 0.250 S
0.028 0.972 0.750 S
0.605 0.395 0.034 Te
0.605 0.395 0.466 Te
0.395 0.605 0.534 Te
0.395 0.605 0.966 Te
```



Entry 4:
An optimized crystal structure of SmMgAu2. Source: OQMD via LeMat-Bulk, functional PBE-GGA.

Results
Its total energy is -3.94 eV/atom. The total moment comes out at 0.00 μB/f.u. As for the space-group type: Pmmn (59).

```
SmMgAu2
1.0
-2.397 1.414 -4.159
-0.166 -6.383 -2.076
-4.449 -0.647 2.345
Au Mg Sm
4 2 2
direct
0.000 0.247 0.280 Au
0.000 0.753 0.280 Au
0.500 0.253 0.720 Au
0.500 0.747 0.720 Au
0.500 0.000 0.249 Mg
0.000 0.500 0.751 Mg
0.500 0.500 0.220 Sm
0.000 0.000 0.780 Sm
```



Entry 5:
An optimized crystal structure of Li6Tc4O11. Source: OQMD via LeMat-Bulk, functional PBE-GGA.

Results
The total moment comes out at 2.00 μB/f.u. Its offset from the most stable computed form is 0 meV per atom. As for the space-group type: P1 (1).

```
Li6Tc4O11
1.0
-5.076 -8.448 -0.242
-2.537 4.223 -0.117
1.503 -0.002 -4.785
Li O Tc
6 11 4
direct
0.751 0.500 0.003 Li
0.667 0.666 0.496 Li
0.832 0.332 0.500 Li
0.349 0.344 0.511 Li
0.167 0.691 0.514 Li
0.250 0.499 0.985 Li
0.453 0.557 0.215 O
0.780 0.916 0.217 O
0.963 0.537 0.224 O
0.273 0.924 0.229 O
0.625 0.251 0.259 O
0.372 0.750 0.737 O
0.873 0.743 0.740 O
0.707 0.074 0.765 O
0.042 0.417 0.775 O
0.221 0.091 0.781 O
0.545 0.447 0.782 O
0.428 0.145 0.000 Tc
0.073 0.864 0.011 Tc
0.571 0.867 0.995 Tc
0.933 0.132 0.996 Tc
```



Entry 6:
An optimized crystal structure of Tm2PdO4. Source: OQMD via LeMat-Bulk, functional PBE-GGA.

Results
The total moment comes out at 0.00 μB/f.u. Its offset from the most stable computed form is 0 meV per atom. As for the space-group type: P4/ncc (130).

```
Tm2PdO4
1.0
-4.567 -3.996 -4.831
5.816 -0.469 -5.110
1.837 -5.204 2.569
O Pd Tm
16 4 8
direct
0.245 0.071 0.080 O
0.571 0.255 0.080 O
0.429 0.745 0.080 O
0.755 0.929 0.080 O
0.071 0.245 0.420 O
0.745 0.429 0.420 O
0.255 0.571 0.420 O
0.929 0.755 0.420 O
0.755 0.071 0.580 O
0.429 0.255 0.580 O
0.571 0.745 0.580 O
0.245 0.929 0.580 O
0.929 0.245 0.920 O
0.255 0.429 0.920 O
0.745 0.571 0.920 O
0.071 0.755 0.920 O
0.500 0.000 0.060 Pd
0.000 0.500 0.440 Pd
0.500 0.000 0.560 Pd
0.000 0.500 0.940 Pd
0.820 0.180 0.250 Tm
0.320 0.320 0.250 Tm
0.680 0.680 0.250 Tm
0.180 0.820 0.250 Tm
0.180 0.180 0.750 Tm
0.680 0.320 0.750 Tm
0.320 0.680 0.750 Tm
0.820 0.820 0.750 Tm
```



Entry 7:
An optimized crystal structure of GdRe2O4. Source: OQMD via LeMat-Bulk, functional PBE-GGA.

Results
Its total energy is -8.18 eV/atom. The total moment comes out at 3.00 μB/f.u. As for the space-group type: Fd-3m (227).

```
GdRe2O4
1.0
-2.838 1.450 -5.536
4.363 -4.660 0.227
-5.721 -0.847 2.713
Gd O Re
2 8 4
direct
0.000 0.000 0.000 Gd
0.750 0.500 0.250 Gd
0.173 0.782 0.391 O
0.609 0.218 0.391 O
0.609 0.782 0.391 O
0.141 0.282 0.423 O
0.609 0.218 0.827 O
0.141 0.718 0.859 O
0.577 0.718 0.859 O
0.141 0.282 0.859 O
0.375 0.750 0.125 Re
0.875 0.250 0.625 Re
0.375 0.750 0.625 Re
0.375 0.250 0.625 Re
```



Entry 8:
An optimized crystal structure of HoGaMo. Source: OQMD via LeMat-Bulk, functional PBE-GGA.

Results
The total moment comes out at 1.08 μB/f.u. Its offset from the most stable computed form is 0 meV per atom. As for the space-group type: F-43m (216).

```
HoGaMo
1.0
0.000 3.199 3.199
3.199 0.000 3.199
3.199 3.199 0.000
Ga Ho Mo
1 1 1
direct
0.000 0.000 0.000 Ga
0.250 0.250 0.250 Ho
0.750 0.750 0.750 Mo
```



Entry 9:
An optimized crystal structure of PrHfU. Source: OQMD via LeMat-Bulk, functional PBE-GGA.

Results
The total moment comes out at 2.58 μB/f.u. Its offset from the most stable computed form is 0 meV per atom. As for the space-group type: F-43m (216).

```
PrHfU
1.0
0.000 3.564 3.564
3.564 0.000 3.564
3.564 3.564 0.000
Hf Pr U
1 1 1
direct
0.000 0.000 0.000 Hf
0.250 0.250 0.250 Pr
0.750 0.750 0.750 U
```



Entry 10:
An optimized crystal structure of DySbAs. Source: OQMD via LeMat-Bulk, functional PBE-GGA.

Results
The total moment comes out at 0.01 μB/f.u. Its offset from the most stable computed form is 0 meV per atom. As for the space-group type: F-43m (216).

```
DySbAs
1.0
-2.095 -0.036 4.415
-4.619 -1.514 0.500
-0.952 -4.249 2.219
As Dy Sb
1 1 1
direct
0.000 0.000 0.000 As
0.250 0.250 0.250 Dy
0.750 0.750 0.750 Sb
```



Entry 11:
An optimized crystal structure of FeSiHgPt. Source: OQMD via LeMat-Bulk, functional PBE-GGA.

Results
The total moment comes out at 2.33 μB/f.u. Its offset from the most stable computed form is 0 meV per atom. As for the space-group type: F-43m (216).

```
FeSiHgPt
1.0
0.000 3.147 3.147
3.147 0.000 3.147
3.147 3.147 0.000
Fe Hg Pt Si
1 1 1 1
direct
0.750 0.750 0.750 Fe
0.500 0.500 0.500 Hg
0.250 0.250 0.250 Pt
0.000 0.000 0.000 Si
```



Entry 12:
An optimized crystal structure of HfBi2Mo. Source: OQMD via LeMat-Bulk, functional PBE-GGA.

Results
Its total energy is -6.72 eV/atom. The total moment comes out at 0.00 μB/f.u. As for the space-group type: F-43m (216).

```
HfBi2Mo
1.0
-0.518 1.353 4.828
-4.398 1.831 1.647
-2.875 -2.751 3.094
Bi Hf Mo
2 1 1
direct
0.000 0.000 0.000 Bi
0.750 0.750 0.750 Bi
0.500 0.500 0.500 Hf
0.250 0.250 0.250 Mo
```



Question: total moment of number 5 (Li6Tc4O11)?
Answer: 2.00 μB/f.u.